# 1
This record from Alexandria describes crystalline BaCrMo at its relaxed geometry. The functional is PBE.

Cell: 4.037 4.037 5.606 Å, 90.00 90.00 120.00°
Element x y z (fractional)
Ba1 0.000 0.000 0.000
Cr1 0.667 0.333 0.500
Mo1 0.333 0.667 0.500

- ΔE to the lowest computed polymorph: 13.16 kJ per mole of atoms
- Total magnetization: 0.8 μB per formula unit
- Energy of formation from the pure elements: 94 kJ/mol of atoms


# 2
This record from Alexandria describes crystalline BaCrMo2 at its relaxed geometry. The functional is PBE.

Cell: 4.690 4.690 4.690 Å, 60.00 60.00 60.00°
Element x y z (fractional)
Ba1 0.000 0.000 0.000
Cr1 0.500 0.500 0.500
Mo1 0.250 0.250 0.250
Mo2 0.750 0.750 0.750

- ΔE to the lowest computed polymorph: 63.01 kJ per mole of atoms
- Total magnetization: 0.0 μB per formula unit
- Energy of formation from the pure elements: 136 kJ/mol of atoms